Here is a relaxed Th3B crystal from Alexandria via LeMat-Bulk. Energies are from PBE-GGA.

Results
Polymorph energy (0 for the lowest one), meV per atom: 0

a = 5.964 Å, b = 5.964 Å, c = 5.964 Å
α = 144.89°, β = 73.22°, γ = 118.08°
Fractional positions:
Th1 0.000 0.000 0.000
Th2 0.309 0.488 0.821
Th3 0.668 0.488 0.179
B1 0.686 0.186 0.500

---

Here is a relaxed ThB6 crystal from Alexandria via LeMat-Bulk. Energies are from PBE-GGA.

Results
Polymorph energy (0 for the lowest one), meV per atom: 585

a = 3.098 Å, b = 3.098 Å, c = 6.943 Å
α = 90.00°, β = 90.00°, γ = 90.00°
Fractional positions:
Th1 0.000 0.000 0.000
B1 0.000 0.500 0.375
B2 0.000 0.500 0.625
B3 0.500 0.000 0.375
B4 0.500 0.000 0.625
B5 0.500 0.500 0.251
B6 0.500 0.500 0.749

---

Here is a relaxed ThTiB12 crystal from Alexandria via LeMat-Bulk. Energies are from PBE-GGA.

a = 4.097 Å, b = 4.097 Å, c = 8.183 Å
α = 90.00°, β = 90.00°, γ = 90.00°
Fractional positions:
Th1 0.000 0.000 0.000
Ti1 0.000 0.000 0.500
B1 0.198 0.500 0.252
B2 0.198 0.500 0.748
B3 0.500 0.198 0.252
B4 0.500 0.198 0.748
B5 0.500 0.500 0.100
B6 0.500 0.500 0.402
B7 0.500 0.500 0.598
B8 0.500 0.500 0.900
B9 0.500 0.802 0.252
B10 0.500 0.802 0.748
B11 0.802 0.500 0.252
B12 0.802 0.500 0.748

---

Here is a relaxed TmThB4 crystal from Alexandria via LeMat-Bulk. Energies are from PBE-GGA.

a = 6.279 Å, b = 12.234 Å, c = 4.014 Å
α = 90.00°, β = 90.00°, γ = 90.00°
Fractional positions:
Tm1 0.139 0.088 0.000
Tm2 0.361 0.588 0.000
Tm3 0.639 0.412 0.000
Tm4 0.861 0.912 0.000
Th1 0.130 0.347 0.000
Th2 0.370 0.847 0.000
Th3 0.630 0.153 0.000
Th4 0.870 0.653 0.000
B1 0.031 0.807 0.500
B2 0.117 0.952 0.500
B3 0.129 0.527 0.500
B4 0.205 0.689 0.500
B5 0.295 0.189 0.500
B6 0.371 0.027 0.500
B7 0.383 0.452 0.500
B8 0.469 0.307 0.500
B9 0.531 0.693 0.500
B10 0.617 0.548 0.500
B11 0.629 0.973 0.500
B12 0.705 0.811 0.500
B13 0.795 0.311 0.500
B14 0.871 0.473 0.500
B15 0.883 0.048 0.500
B16 0.969 0.193 0.500

---

Here is a relaxed TmThB12 crystal from Alexandria via LeMat-Bulk. Energies are from PBE-GGA.

a = 4.096 Å, b = 4.096 Å, c = 8.197 Å
α = 90.00°, β = 90.00°, γ = 90.00°
Fractional positions:
Tm1 0.000 0.000 0.000
Th1 0.000 0.000 0.500
B1 0.198 0.500 0.248
B2 0.198 0.500 0.752
B3 0.500 0.198 0.248
B4 0.500 0.198 0.752
B5 0.500 0.500 0.098
B6 0.500 0.500 0.400
B7 0.500 0.500 0.600
B8 0.500 0.500 0.902
B9 0.500 0.802 0.248
B10 0.500 0.802 0.752
B11 0.802 0.500 0.248
B12 0.802 0.500 0.752

---

Here is a relaxed TmThB crystal from Alexandria via LeMat-Bulk. Energies are from PBE-GGA.

a = 11.152 Å, b = 3.255 Å, c = 7.793 Å
α = 90.00°, β = 90.00°, γ = 90.00°
Fractional positions:
Tm1 0.004 0.250 0.201
Tm2 0.496 0.750 0.701
Tm3 0.504 0.250 0.299
Tm4 0.996 0.750 0.799
Th1 0.220 0.250 0.510
Th2 0.280 0.750 0.010
Th3 0.720 0.250 0.990
Th4 0.780 0.750 0.490
B1 0.022 0.750 0.472
B2 0.478 0.250 0.972
B3 0.522 0.750 0.028
B4 0.978 0.250 0.528

---

Here is a relaxed ThUB4 crystal from Alexandria via LeMat-Bulk. Energies are from PBE-GGA.

a = 6.144 Å, b = 12.010 Å, c = 4.129 Å
α = 90.00°, β = 90.00°, γ = 90.00°
Fractional positions:
Th1 0.123 0.157 0.000
Th2 0.377 0.657 0.000
Th3 0.623 0.343 0.000
Th4 0.877 0.843 0.000
U1 0.124 0.420 0.000
U2 0.376 0.920 0.000
U3 0.624 0.080 0.000
U4 0.876 0.580 0.000
B1 0.022 0.693 0.500
B2 0.120 0.550 0.500
B3 0.130 0.969 0.500
B4 0.207 0.813 0.500
B5 0.293 0.313 0.500
B6 0.370 0.469 0.500
B7 0.380 0.050 0.500
B8 0.478 0.193 0.500
B9 0.522 0.807 0.500
B10 0.620 0.950 0.500
B11 0.630 0.531 0.500
B12 0.707 0.687 0.500
B13 0.793 0.187 0.500
B14 0.870 0.031 0.500
B15 0.880 0.450 0.500
B16 0.978 0.307 0.500

---

Here is a relaxed ThUB crystal from Alexandria via LeMat-Bulk. Energies are from PBE-GGA.

Results
Polymorph energy (0 for the lowest one), meV per atom: 351

a = 6.183 Å, b = 6.183 Å, c = 6.183 Å
α = 149.49°, β = 149.49°, γ = 43.69°
Fractional positions:
Th1 0.000 0.000 0.000
U1 0.748 0.748 0.000
B1 0.354 0.354 0.000

---

Here is a relaxed ThUB12 crystal from Alexandria via LeMat-Bulk. Energies are from PBE-GGA.

a = 4.092 Å, b = 4.092 Å, c = 8.181 Å
α = 90.00°, β = 90.00°, γ = 90.00°
Fractional positions:
Th1 0.000 0.000 0.000
U1 0.000 0.000 0.500
B1 0.197 0.500 0.252
B2 0.197 0.500 0.748
B3 0.500 0.197 0.252
B4 0.500 0.197 0.748
B5 0.500 0.500 0.099
B6 0.500 0.500 0.402
B7 0.500 0.500 0.598
B8 0.500 0.500 0.901
B9 0.500 0.803 0.252
B10 0.500 0.803 0.748
B11 0.803 0.500 0.252
B12 0.803 0.500 0.748

---

Here is a relaxed ThUB crystal from Alexandria via LeMat-Bulk. Energies are from PBE-GGA.

Results
Polymorph energy (0 for the lowest one), meV per atom: 0

a = 9.328 Å, b = 9.328 Å, c = 3.214 Å
α = 90.00°, β = 90.00°, γ = 154.91°
Fractional positions:
Th1 0.184 0.816 0.750
Th2 0.816 0.184 0.250
U1 0.435 0.565 0.750
U2 0.565 0.435 0.250
B1 0.023 0.977 0.750
B2 0.977 0.023 0.250

---

Here is a relaxed ThVB14 crystal from Alexandria via LeMat-Bulk. Energies are from PBE-GGA.

a = 7.433 Å, b = 7.433 Å, c = 7.433 Å
α = 133.64°, β = 85.85°, γ = 112.48°
Fractional positions:
Th1 0.378 0.128 0.250
Th2 0.622 0.872 0.750
V1 0.000 0.000 0.500
V2 0.000 0.500 0.000
B1 0.010 0.134 0.876
B2 0.026 0.200 0.328
B3 0.026 0.698 0.826
B4 0.086 0.669 0.417
B5 0.196 0.528 0.668
B6 0.222 0.498 0.401
B7 0.222 0.821 0.724
B8 0.241 0.866 0.376
B9 0.248 0.331 0.917
B10 0.360 0.528 0.832
B11 0.372 0.200 0.674
B12 0.372 0.698 0.172
B13 0.403 0.179 0.901
B14 0.403 0.502 0.224
B15 0.597 0.498 0.776
B16 0.597 0.821 0.099
B17 0.628 0.302 0.828
B18 0.628 0.800 0.326
B19 0.640 0.472 0.168
B20 0.752 0.669 0.083
B21 0.759 0.134 0.624
B22 0.778 0.179 0.276
B23 0.778 0.502 0.599
B24 0.804 0.472 0.332
B25 0.914 0.331 0.583
B26 0.974 0.302 0.174
B27 0.974 0.800 0.672
B28 0.990 0.866 0.124

---

Here is a relaxed ThVB crystal from Alexandria via LeMat-Bulk. Energies are from PBE-GGA.

a = 5.060 Å, b = 3.323 Å, c = 12.190 Å
α = 90.00°, β = 90.00°, γ = 90.00°
Fractional positions:
Th1 0.109 0.250 0.171
Th2 0.391 0.750 0.671
Th3 0.609 0.250 0.329
Th4 0.891 0.750 0.829
V1 0.164 0.250 0.467
V2 0.336 0.750 0.967
V3 0.664 0.250 0.033
V4 0.836 0.750 0.533
B1 0.042 0.750 0.362
B2 0.458 0.250 0.862
B3 0.542 0.750 0.138
B4 0.958 0.250 0.638

---

| no. | energy relative to the elements (eV/atom) |
| --- | --- |
| 1 | 0.08 |
| 2 | 0.10 |
| 3 | -0.17 |
| 4 | -0.38 |
| 5 | -0.41 |
| 6 | -0.09 |
| 7 | -0.31 |
| 8 | 0.32 |
| 9 | -0.39 |
| 10 | -0.03 |
| 11 | -0.18 |
| 12 | 0.13 |